Below is crystalline VP2HO at its relaxed geometry, with properties calculated at the PBE+U level.

The structure belongs to space group P4/mmm (No. 123); the cell edges are 4.6569, 4.6569 and 3.6333 Å and the angles 90.00°, 90.00° and 90.00°. Symmetry generates all atoms from V at (0.0000, 0.0000, 0.0000), P at (0.0000, 0.5000, 0.0000), H at (0.5000, 0.5000, 0.5000) and O at (0.0000, 0.0000, 0.5000).

The calculation puts the volume at 78.79 Å³/cell. For the raw total energy, the calculation gives -0.3501 Ry per atom.